[1]
Below is a relaxed Dy4MnSe7 crystal, with properties calculated at the PBEsol level.

Computed properties:
Space group: Cm, No. 8
Raw formation energy (meV/atom): -1590
E (eV/cell): -75.708

Lattice parameters (Å, degrees): 3.909 6.739 11.770 104.57 90.00 106.86
Last column: magnetic moment on the atom in μB.
Element x y z (fractional)
Dy  0.300  0.600  0.196  0.07
Dy  0.686  0.371  0.789  0.03
Dy  0.994  0.988  0.008  0.02
Dy  0.891  0.781  0.564  0.06
Mn  0.122  0.245  0.425  4.23
Se  0.262  0.525  0.639  0.02
Se  0.731  0.461  0.348  0.06
Se  0.657  0.315  0.045  0.00
Se  0.333  0.666  0.945  0.00
Se  0.965  0.930  0.233  0.02
Se  0.031  0.062  0.787  0.01
Se  0.528  0.056  0.520  0.06



[2]
Below is a relaxed TiTl3As crystal, with properties calculated at the PBEsol level.

Computed properties:
Space group: Pm-3m, No. 221
E (eV/cell): -17.504

Lattice parameters (Å, degrees): 5.300 5.300 5.300 90.00 90.00 90.00
Element x y z (fractional)
Tl  0.000  0.500  0.000
Tl  0.000  0.000  0.500
Tl  0.500  0.000  0.000
As  0.500  0.500  0.500
Ti  0.000  0.000  0.000



[3]
Below is a relaxed Li2CaC2 crystal, with properties calculated at the PBEsol level.

Computed properties:
Space group: I4/mmm, No. 139
E (eV/cell): -24.777
Energy above the most stable polymorph in this dataset (eV per atom): 0.000

Lattice parameters (Å, degrees): 3.551 3.551 5.168 110.10 110.10 90.00
Element x y z (fractional)
Ca  0.000  0.000  0.000
C  0.422  0.422  0.845
C  0.578  0.578  0.155
Li  0.250  0.750  0.500
Li  0.750  0.250  0.500